Entry 1:
The following is a DFT calculation (PBE) of a geometry-optimized ScBeRe structure.

Unit cell a=4.995 b=4.986 c=4.986 alpha=142.92 beta=142.95 gamma=53.40
Fractional coordinates of all 3 atoms:
Sc  0.669  0.670  0.000
Re  0.369  0.369  0.000
Be  0.962  0.962  0.000

Computed properties:
Calculated formation energy   -59 meV/atom
Volume   44.8 Å³ per cell
Space-group type   No. 8
DFT total energy   -7.56 eV/atom
Energy above the most stable polymorph in this dataset   56.5 kJ/mol of formula units

Entry 2:
The following is a DFT calculation (PBE) of a geometry-optimized Sc2BeRe2 structure.

Unit cell a=3.548 b=3.548 c=8.087 alpha=77.33 beta=77.33 gamma=90.00
Fractional coordinates of all 5 atoms:
Sc  0.401  0.401  0.198
Sc  0.599  0.599  0.802
Re  0.750  0.250  0.500
Re  0.250  0.750  0.500
Be  0.000  0.000  0.000

Computed properties:
Calculated formation energy   412 meV/atom
Volume   96.8 Å³ per cell
Space-group type   No. 139
DFT total energy   -7.84 eV/atom
Energy above the most stable polymorph in this dataset   0.0 kJ/mol of formula units

Entry 3:
The following is a DFT calculation (PBE) of a geometry-optimized ScBeRe structure.

Unit cell a=4.357 b=4.357 c=2.782 alpha=90.00 beta=90.00 gamma=120.00
Fractional coordinates of all 3 atoms:
Sc  0.333  0.667  0.668
Re  0.667  0.333  0.175
Be  0.000  0.000  0.158

Computed properties:
Calculated formation energy   143 meV/atom
Volume   45.7 Å³ per cell
Space-group type   No. 156
DFT total energy   -7.36 eV/atom
Energy above the most stable polymorph in this dataset   114.9 kJ/mol of formula units

Entry 4:
The following is a DFT calculation (PBE) of a geometry-optimized ScBeRe structure.

Unit cell a=6.132 b=6.030 c=2.796 alpha=78.76 beta=74.68 gamma=26.56
Fractional coordinates of all 3 atoms:
Sc  0.660  0.660  0.340
Re  0.354  0.354  0.646
Be  0.986  0.986  0.014

Computed properties:
Calculated formation energy   127 meV/atom
Volume   44.4 Å³ per cell
Space-group type   No. 42
DFT total energy   -7.37 eV/atom
Energy above the most stable polymorph in this dataset   110.5 kJ/mol of formula units

Entry 5:
The following is a DFT calculation (PBE) of a geometry-optimized ScBe4Re structure.

Unit cell a=4.551 b=4.551 c=4.551 alpha=60.00 beta=60.00 gamma=60.00
Fractional coordinates of all 6 atoms:
Be  0.130  0.623  0.623
Be  0.623  0.623  0.623
Be  0.623  0.130  0.623
Be  0.623  0.623  0.130
Re  0.250  0.250  0.250
Sc  0.000  0.000  0.000

Computed properties:
Calculated formation energy   -184 meV/atom
Volume   66.6 Å³ per cell
Space-group type   No. 216
DFT total energy   -5.80 eV/atom

Entry 6:
The following is a DFT calculation (PBE) of a geometry-optimized ScBeRe structure.

Unit cell a=5.055 b=5.055 c=5.055 alpha=90.47 beta=59.37 gamma=119.92
Fractional coordinates of all 6 atoms:
Sc  0.750  0.879  0.371
Sc  0.250  0.121  0.629
Re  0.500  0.000  0.000
Re  0.000  0.500  0.000
Be  0.000  0.500  0.500
Be  0.500  0.500  0.000

Computed properties:
Calculated formation energy   -254 meV/atom
Volume   91.0 Å³ per cell
Space-group type   No. 74
DFT total energy   -7.76 eV/atom
Energy above the most stable polymorph in this dataset   0.0 kJ/mol of formula units

Entry 7:
The following is a DFT calculation (PBE) of a geometry-optimized ScBeRe structure.

Unit cell a=4.312 b=4.312 c=4.312 alpha=60.00 beta=60.00 gamma=60.00
Site moments in Bohr magnetons follow the coordinates.
Fractional coordinates of all 3 atoms:
Sc  0.750  0.750  0.750  0.15
Re  0.500  0.500  0.500  1.28
Be  0.000  0.000  0.000  -0.02

Computed properties:
Calculated formation energy   1413 meV/atom
Volume   56.7 Å³ per cell
Space-group type   No. 216
DFT total energy   -6.09 eV/atom
Energy above the most stable polymorph in this dataset   482.6 kJ/mol of formula units

Entry 8:
The following is a DFT calculation (PBE) of a geometry-optimized Sc4BeRe structure.

Unit cell a=5.453 b=5.453 c=5.453 alpha=60.00 beta=60.00 gamma=60.00
Fractional coordinates of all 6 atoms:
Sc  0.373  0.881  0.373
Sc  0.881  0.373  0.373
Sc  0.373  0.373  0.881
Sc  0.373  0.373  0.373
Be  0.750  0.750  0.750
Re  0.000  0.000  0.000

Computed properties:
Calculated formation energy   747 meV/atom
Volume   114.6 Å³ per cell
Space-group type   No. 216
DFT total energy   -6.17 eV/atom

Entry 9:
The following is a DFT calculation (PBE) of a geometry-optimized Sc2BeRe2 structure.

Unit cell a=6.692 b=6.692 c=3.744 alpha=90.00 beta=90.00 gamma=90.00
Fractional coordinates of all 10 atoms:
Sc  0.357  0.857  0.000
Sc  0.857  0.643  0.000
Sc  0.643  0.143  0.000
Sc  0.143  0.357  0.000
Re  0.166  0.666  0.500
Re  0.666  0.834  0.500
Re  0.834  0.334  0.500
Re  0.334  0.166  0.500
Be  0.000  0.000  0.000
Be  0.500  0.500  0.000

Computed properties:
Calculated formation energy   671 meV/atom
Volume   167.6 Å³ per cell
Space-group type   No. 127
DFT total energy   -7.59 eV/atom
Energy above the most stable polymorph in this dataset   124.6 kJ/mol of formula units

Entry 10:
The following is a DFT calculation (PBE) of a geometry-optimized ScBe9Re2 structure.

Unit cell a=4.397 b=4.397 c=14.238 alpha=90.00 beta=90.00 gamma=120.00
Fractional coordinates of all 24 atoms:
Sc  0.333  0.667  0.750
Sc  0.667  0.333  0.250
Be  0.000  0.000  0.000
Be  0.000  0.000  0.500
Be  0.000  0.000  0.250
Be  0.000  0.000  0.750
Be  0.333  0.667  0.250
Be  0.667  0.333  0.750
Be  0.169  0.339  0.123
Be  0.661  0.831  0.123
Be  0.169  0.831  0.123
Be  0.831  0.661  0.623
Be  0.339  0.169  0.623
Be  0.831  0.169  0.623
Be  0.339  0.169  0.877
Be  0.831  0.661  0.877
Be  0.831  0.169  0.877
Be  0.661  0.831  0.377
Be  0.169  0.339  0.377
Be  0.169  0.831  0.377
Re  0.333  0.667  0.531
Re  0.667  0.333  0.031
Re  0.667  0.333  0.469
Re  0.333  0.667  0.969

Computed properties:
Calculated formation energy   -313 meV/atom
Volume   238.4 Å³ per cell
Space-group type   No. 194
DFT total energy   -5.71 eV/atom

Entry 11:
The following is a DFT calculation (PBE) of a geometry-optimized ScBeRe structure.

Unit cell a=4.048 b=4.048 c=4.048 alpha=60.00 beta=60.00 gamma=60.00
Fractional coordinates of all 3 atoms:
Sc  0.500  0.500  0.500
Re  0.000  0.000  0.000
Be  0.750  0.750  0.750

Computed properties:
Calculated formation energy   340 meV/atom
Volume   46.9 Å³ per cell
Space-group type   No. 216
DFT total energy   -7.16 eV/atom
Energy above the most stable polymorph in this dataset   172.0 kJ/mol of formula units

Entry 12:
The following is a DFT calculation (PBE) of a geometry-optimized ZrScBeRe structure.

Unit cell a=4.595 b=4.595 c=4.595 alpha=60.00 beta=60.00 gamma=60.00
Fractional coordinates of all 4 atoms:
Sc  0.000  0.000  0.000
Re  0.250  0.250  0.250
Zr  0.500  0.500  0.500
Be  0.750  0.750  0.750

Computed properties:
Calculated formation energy   -99 meV/atom
Volume   68.6 Å³ per cell
Space-group type   No. 216
DFT total energy   -7.86 eV/atom

Entry 13:
The following is a DFT calculation (PBE) of a geometry-optimized BeReSe2 structure.

Unit cell a=4.892 b=4.892 c=4.892 alpha=133.22 beta=133.22 gamma=68.32
Fractional coordinates of all 4 atoms:
Re  0.750  0.250  0.500
Se  0.000  0.000  0.000
Se  0.250  0.750  0.500
Be  0.500  0.500  0.000

Computed properties:
Volume   61.1 Å³ per cell
Space-group type   No. 119
Raw formation energy   0.886 eV per atom
DFT total energy   -4.90 eV/atom

Entry 14:
The following is a DFT calculation (PBE) of a geometry-optimized BeReSe2 structure.

Unit cell a=4.154 b=3.392 c=4.678 alpha=84.65 beta=90.00 gamma=90.00
Fractional coordinates of all 4 atoms:
Re  0.500  0.750  0.750
Se  0.000  0.936  0.011
Se  0.000  0.564  0.489
Be  0.500  0.250  0.250

Computed properties:
Volume   65.6 Å³ per cell
Space-group type   No. 10
Raw formation energy   0.722 eV per atom
DFT total energy   -5.06 eV/atom

Entry 15:
The following is a DFT calculation (PBE) of a geometry-optimized BeReSe2 structure.

Unit cell a=7.160 b=7.160 c=7.160 alpha=154.11 beta=149.54 gamma=40.40
Fractional coordinates of all 4 atoms:
Re  0.750  0.250  0.500
Se  0.123  0.123  0.000
Se  0.377  0.377  0.000
Be  0.250  0.750  0.500

Computed properties:
Volume   81.1 Å³ per cell
Space-group type   No. 71
Raw formation energy   0.048 eV per atom
DFT total energy   -5.74 eV/atom

Entry 16:
The following is a DFT calculation (PBE) of a geometry-optimized BeReSe2 structure.

Unit cell a=4.212 b=4.212 c=5.298 alpha=90.50 beta=90.50 gamma=47.26
Fractional coordinates of all 4 atoms:
Re  0.250  0.250  0.250
Se  0.945  0.945  0.023
Se  0.555  0.555  0.477
Be  0.750  0.750  0.750

Computed properties:
Volume   69.0 Å³ per cell
Space-group type   No. 12
Raw formation energy   0.347 eV per atom
DFT total energy   -5.44 eV/atom

Entry 17:
The following is a DFT calculation (PBE) of a geometry-optimized BeReSe2 structure.

Unit cell a=3.309 b=3.222 c=7.561 alpha=89.29 beta=90.00 gamma=90.00
Fractional coordinates of all 4 atoms:
Re  0.500  0.874  0.650
Se  0.000  0.867  0.897
Se  0.500  0.382  0.382
Be  0.000  0.376  0.572

Computed properties:
Volume   80.6 Å³ per cell
Space-group type   No. 6
Raw formation energy   -0.080 eV per atom
DFT total energy   -5.87 eV/atom

Entry 18:
The following is a DFT calculation (PBE) of a geometry-optimized BeReSe2 structure.

Unit cell a=7.054 b=7.054 c=7.054 alpha=26.38 beta=26.38 gamma=26.38
Fractional coordinates of all 4 atoms:
Re  0.750  0.750  0.750
Se  0.991  0.991  0.991
Se  0.509  0.509  0.509
Be  0.250  0.250  0.250

Computed properties:
Volume   61.1 Å³ per cell
Space-group type   No. 166
Raw formation energy   0.342 eV per atom
DFT total energy   -5.44 eV/atom

Entry 19:
The following is a DFT calculation (PBE) of a geometry-optimized BeReSe2 structure.

Unit cell a=3.073 b=3.073 c=6.440 alpha=90.00 beta=90.00 gamma=90.00
Fractional coordinates of all 4 atoms:
Re  0.500  0.500  0.750
Se  0.000  0.000  0.998
Se  0.000  0.000  0.502
Be  0.500  0.500  0.250

Computed properties:
Volume   60.8 Å³ per cell
Space-group type   No. 123
Raw formation energy   0.553 eV per atom
DFT total energy   -5.23 eV/atom

Entry 20:
The following is a DFT calculation (PBE) of a geometry-optimized BeReSe2 structure.

Unit cell a=5.156 b=5.156 c=5.156 alpha=145.30 beta=125.56 gamma=66.19
Fractional coordinates of all 4 atoms:
Re  0.755  0.255  0.500
Se  0.984  0.984  0.000
Se  0.274  0.774  0.500
Be  0.486  0.486  0.000

Computed properties:
Volume   62.7 Å³ per cell
Space-group type   No. 44
Raw formation energy   0.601 eV per atom
DFT total energy   -5.18 eV/atom

Per-record density of states at the Fermi level, states/eV per atom: 0.40; 0.98; 0.73; 0.62; 0.96; 0.60; 2.06; 1.01; 0.14; 0.26; 0.71; 0.98; 0.92; 0.71; 0.87; 0.47; 0.33; 0.58; 0.68; 0.51